1.
First-principles (PBE) data for K2ZrAg after structural relaxation, as listed in the Alexandria database.

Cell: 3.1396 6.5606 13.7956 Å, 90.00 90.00 90.00°
Last column: nearest neighbours and their distance in Å.
Space group Imm2 (No. 44)
Asymmetric unit:
K 0.0000 0.0000 0.0000 [2 per cell]  2 K 3.14, 2 Ag 3.45
K 0.0000 0.5000 0.1979 [2 per cell]  2 K 3.14
Zr 0.0000 0.0000 0.3951 [2 per cell]  2 Ag 2.85, 2 Zr 3.14
Ag 0.0000 0.5000 0.7225 [2 per cell]  2 Zr 2.85, 2 Ag 3.14

Fermi-level density of states in states/eV per cell: 8.1
Energy relative to the elements in eV per atom: 0.630
Excess energy over the best structure of this formula in the dataset in eV/atom: 0.236
DFT total energy in eV per atom: -2.77

2.
First-principles (PBE) data for NdGa2Pd8 after structural relaxation, as listed in the Alexandria database.

Cell: 5.5191 5.5191 7.4614 Å, 90.00 90.00 90.00°
Last column: nearest neighbours and their distance in Å.
Space group P4/mmm (No. 123)
Asymmetric unit:
Nd 0.0000 0.0000 0.0000 [1 per cell]  8 Pd 2.90
Ga 0.0000 0.5000 0.5000 [2 per cell]  8 Pd 2.54
Pd 0.2554 0.2554 0.2818 [8 per cell]  2 Ga 2.54, 4 Pd 2.70-2.82

Fermi-level density of states in states/eV per cell: 7.1
Energy relative to the elements in eV per atom: -0.198
DFT total energy in eV per atom: -4.96

3.
First-principles (PBE) data for TiPF2 after structural relaxation, as listed in the Alexandria database.

Cell: 2.6921 2.6921 30.2977 Å, 90.00 90.00 120.00°
Last column: nearest neighbours and their distance in Å.
Space group R-3m (No. 166, hexagonal axes)
Asymmetric unit:
Ti 0.0000 0.0000 0.0000 [3 per cell]  6 F 2.09
P 0.0000 0.0000 0.5000 [3 per cell]  6 P 2.69
F 0.0000 0.0000 0.3795 [6 per cell]  3 Ti 2.09

Fermi-level density of states in states/eV per cell: 6.6
ΔE_f (raw) in meV per atom: -1703
Excess energy over the best structure of this formula in the dataset in eV/atom: 0.000
DFT total energy in eV per atom: -5.97

4.
First-principles (PBE) data for KV after structural relaxation, as listed in the Alexandria database.

Cell: 3.0347 3.9532 10.8257 Å, 99.38 91.39 101.64°
Last column: nearest neighbours and their distance in Å.
Space group P1 (No. 1)
Asymmetric unit:
K 0.0000 0.0000 0.0000 [1 per cell]  2 K 3.03
K 0.1236 0.3094 0.6006 [1 per cell]  2 K 3.03
V 0.1060 0.5485 0.3000 [1 per cell]  1 V 1.97
V 0.5531 0.9870 0.3007 [1 per cell]  1 V 1.97

Fermi-level density of states in states/eV per cell: 3.3
Energy relative to the elements in eV per atom: 0.836
Excess energy over the best structure of this formula in the dataset in eV/atom: 0.094
DFT total energy in eV per atom: -4.27

5.
First-principles (PBE) data for Y4CoNi after structural relaxation, as listed in the Alexandria database.

Cell: 8.5472 8.5472 8.5472 Å, 90.00 90.00 90.00°
Last column: nearest neighbours and their distance in Å.
Space group F-43m (No. 216)
Asymmetric unit:
Y 0.1252 0.1252 0.1252 [16 per cell]  6 Y 3.02-3.03
Co 0.2500 0.2500 0.7500 [4 per cell]  12 Y 3.54, 4 Ni 3.70
Ni 0.0000 0.0000 0.5000 [4 per cell]  12 Y 3.54, 4 Co 3.70

Fermi-level density of states in states/eV per cell: 36.9
Energy relative to the elements in eV per atom: 0.996
Excess energy over the best structure of this formula in the dataset in eV/atom: 1.131
DFT total energy in eV per atom: -5.46

6.
First-principles (PBE) data for BaLa2Rh after structural relaxation, as listed in the Alexandria database.

Cell: 7.7356 7.7356 7.7356 Å, 90.00 90.00 90.00°
Last column: nearest neighbours and their distance in Å.
Space group Fm-3m (No. 225)
Asymmetric unit:
Ba 0.0000 0.0000 0.0000 [4 per cell]  8 La 3.35
La 0.2500 0.2500 0.2500 [8 per cell]  4 Ba 3.35, 4 Rh 3.35
Rh 0.0000 0.0000 0.5000 [4 per cell]  8 La 3.35

Fermi-level density of states in states/eV per cell: 24.5
Energy relative to the elements in eV per atom: 0.089
Excess energy over the best structure of this formula in the dataset in eV/atom: 0.504
DFT total energy in eV per atom: -4.69

7.
First-principles (PBE) data for MgFe2Cl after structural relaxation, as listed in the Alexandria database.

Cell: 2.8891 2.8891 7.4629 Å, 90.00 90.00 90.00°
Last column: nearest neighbours and their distance in Å.
Space group P4/mmm (No. 123)
Asymmetric unit:
Mg 0.0000 0.0000 0.0000 [1 per cell]  8 Fe 2.86, 4 Mg 2.89
Fe 0.5000 0.5000 0.2682 [2 per cell]  4 Cl 2.68, 4 Mg 2.86, 4 Fe 2.89
Cl 0.0000 0.0000 0.5000 [1 per cell]  8 Fe 2.68, 4 Cl 2.89

Fermi-level density of states in states/eV per cell: 3.8
ΔE_f (raw) in meV per atom: 385
Excess energy over the best structure of this formula in the dataset in eV/atom: 0.460
DFT total energy in eV per atom: -4.71

8.
First-principles (PBE) data for CrAgBr4 after structural relaxation, as listed in the Alexandria database.

Cell: 13.0170 3.7788 7.3372 Å, 90.00 97.84 90.00°
Last column: nearest neighbours and their distance in Å.
Space group C2/m (No. 12)
Asymmetric unit:
Cr 0.0000 0.0000 0.0000 [2 per cell]  6 Br 2.52-2.56
Ag 0.0000 0.5000 0.5000 [2 per cell]  6 Br 2.81-3.13
Br 0.1065 0.0000 0.3132 [4 per cell]  1 Cr 2.52, 2 Ag 2.81
Br 0.1140 0.5000 0.9045 [4 per cell]  2 Cr 2.56

Fermi-level density of states in states/eV per cell: 0.1
ΔE_f (raw) in meV per atom: -585
Excess energy over the best structure of this formula in the dataset in eV/atom: 0.000
DFT total energy in eV per atom: -3.78

9.
First-principles (PBE) data for MgB2P after structural relaxation, as listed in the Alexandria database.

Cell: 7.9593 3.1682 9.4902 Å, 90.00 101.85 90.00°
Last column: nearest neighbours and their distance in Å.
Space group Cm (No. 8)
Asymmetric unit:
Mg 0.0000 0.0000 0.0000 [2 per cell]  5 P 2.52-2.68
Mg 0.1346 0.0000 0.6539 [2 per cell]  4 B 2.50-2.51, 2 P 2.59
B 0.2606 0.5000 0.3514 [2 per cell]  4 B 1.75-1.77, 1 P 1.95
B 0.3502 0.2500 0.5142 [4 per cell]  4 B 1.58-1.75
B 0.3587 0.0000 0.3511 [2 per cell]  4 B 1.75-1.77, 1 P 1.95
P 0.0303 0.5000 0.2318 [2 per cell]  2 B 1.95
P 0.1885 0.5000 0.8741 [2 per cell]  5 Mg 2.52-2.63

Fermi-level density of states in states/eV per cell: 2.4
Energy relative to the elements in eV per atom: -0.055
Excess energy over the best structure of this formula in the dataset in eV/atom: 0.043
DFT total energy in eV per atom: -5.15

10.
First-principles (PBE) data for Tl4H4Pb after structural relaxation, as listed in the Alexandria database.

Cell: 5.4925 6.3659 6.4024 Å, 77.93 65.77 65.20°
Last column: nearest neighbours and their distance in Å.
Space group P-1 (No. 2)
Asymmetric unit:
Tl 0.1079 0.0741 0.2074 [2 per cell]  2 H 2.23
Tl 0.2920 0.2903 0.6222 [2 per cell]  4 H 2.40-2.51
H 0.1648 0.3721 0.2868 [2 per cell]  3 Tl 2.23-2.46, 1 Pb 2.30
H 0.3262 0.6431 0.7052 [2 per cell]  2 Tl 2.23-2.40, 1 Pb 2.31
Pb 0.5000 0.5000 0.0000 [1 per cell]  4 H 2.30-2.31

Fermi-level density of states in states/eV per cell: 1.9
DFT total energy in eV per atom: -2.64

11.
First-principles (PBE) data for LaInGa3 after structural relaxation, as listed in the Alexandria database.

Cell: 5.1798 5.1798 5.1798 Å, 90.00 90.00 90.00°
Last column: nearest neighbours and their distance in Å.
Space group Pm-3m (No. 221)
Asymmetric unit:
La 0.0000 0.0000 0.0000 [1 per cell]  12 Ga 3.66
In 0.5000 0.5000 0.5000 [1 per cell]  6 Ga 2.59
Ga 0.0000 0.5000 0.5000 [3 per cell]  2 In 2.59

Fermi-level density of states in states/eV per cell: 3.4
Energy relative to the elements in eV per atom: 0.160
Excess energy over the best structure of this formula in the dataset in eV/atom: 0.000
DFT total energy in eV per atom: -3.19

12.
First-principles (PBE) data for ZnSnIN2 after structural relaxation, as listed in the Alexandria database.

Cell: 4.0568 4.0568 7.0602 Å, 90.00 90.00 90.00°
Last column: nearest neighbours and their distance in Å.
Space group P4/mmm (No. 123)
Asymmetric unit:
Zn 0.0000 0.0000 0.0000 [1 per cell]  4 I 2.87
Sn 0.5000 0.5000 0.5000 [1 per cell]  4 N 2.03
I 0.5000 0.5000 0.0000 [1 per cell]  4 Zn 2.87
N 0.0000 0.5000 0.5000 [2 per cell]  2 Sn 2.03

Fermi-level density of states in states/eV per cell: 3.3
ΔE_f (raw) in meV per atom: 1207
Excess energy over the best structure of this formula in the dataset in eV/atom: 0.000
DFT total energy in eV per atom: -3.49

13.
First-principles (PBE) data for AlV12Ga6 after structural relaxation, as listed in the Alexandria database.

Cell: 9.1474 9.1474 11.1592 Å, 90.00 90.00 120.00°
Last column: nearest neighbours and their distance in Å.
Space group R-3 (No. 148, hexagonal axes)
Asymmetric unit:
Al 0.0000 0.0000 0.0000 [3 per cell]  6 Ga 2.58, 6 V 2.66
V 0.0497 0.8686 0.8019 [18 per cell]  4 V 2.57-2.62, 4 Ga 2.64-2.80, 1 Al 2.66
V 0.0663 0.2182 0.4138 [18 per cell]  4 Ga 2.56-2.71, 4 V 2.59-2.68
Ga 0.0274 0.5900 0.7132 [18 per cell]  8 V 2.56-2.80, 1 Al 2.58, 2 Ga 2.73

Fermi-level density of states in states/eV per cell: 65.2
Energy relative to the elements in eV per atom: -0.061
DFT total energy in eV per atom: -6.97

14.
First-principles (PBE) data for DyHo5Er2Zr after structural relaxation, as listed in the Alexandria database.

Cell: 5.5175 20.6514 9.6676 Å, 90.00 90.00 90.00°
Last column: nearest neighbours and their distance in Å.
Space group Cmc2_1 (No. 36)
Asymmetric unit:
Dy 0.0000 0.1020 0.0000 [4 per cell]  5 Ho 3.01-3.35
Ho 0.0000 0.0206 0.3090 [4 per cell]  2 Dy 3.14-3.43, 2 Er 3.36
Ho 0.0000 0.1322 0.6002 [4 per cell]  4 Er 3.34-3.50, 2 Ho 3.39-3.64
Ho 0.0000 0.1945 0.2755 [4 per cell]  2 Zr 3.25, 1 Dy 3.28, 5 Ho 3.37-3.61, 2 Er 3.46
Ho 0.0000 0.2437 0.9271 [4 per cell]  1 Dy 3.01, 1 Er 3.12
Ho 0.0000 0.4822 0.5810 [4 per cell]  2 Er 3.20-3.46, 2 Dy 3.35, 1 Zr 3.48, 2 Ho 3.53
Er 0.0000 0.3715 0.2943 [4 per cell]  1 Zr 3.17, 2 Ho 3.34, 2 Dy 3.44
Er 0.0000 0.3932 0.8840 [4 per cell]  7 Ho 3.12-3.46, 1 Zr 3.21
Zr 0.0000 0.3139 0.5982 [4 per cell]  2 Er 3.17-3.21, 6 Ho 3.25-3.50, 2 Dy 3.39

Fermi-level density of states in states/eV per cell: 55.2
Energy relative to the elements in eV per atom: 0.179
DFT total energy in eV per atom: -4.84

15.
First-principles (PBE) data for Ce2PmOs after structural relaxation, as listed in the Alexandria database.

Cell: 3.5233 3.5233 8.5743 Å, 90.00 90.00 90.00°
Last column: nearest neighbours and their distance in Å.
Space group P4/mmm (No. 123)
Asymmetric unit:
Ce 0.0000 0.0000 0.1902 [2 per cell]  4 Os 2.98, 1 Ce 3.26
Pm 0.5000 0.5000 0.5000 [1 per cell]  4 Pm 3.52, 8 Ce 3.64
Os 0.5000 0.5000 0.0000 [1 per cell]  8 Ce 2.98

Fermi-level density of states in states/eV per cell: 10.5
Energy relative to the elements in eV per atom: 0.015
Excess energy over the best structure of this formula in the dataset in eV/atom: 0.145
DFT total energy in eV per atom: -6.95

16.
First-principles (PBE) data for MgCo2GeH after structural relaxation, as listed in the Alexandria database.

Cell: 2.9515 10.8466 7.0647 Å, 90.00 90.00 90.00°
Last column: nearest neighbours and their distance in Å.
Space group Cmcm (No. 63)
Asymmetric unit:
Mg 0.0000 0.0215 0.2500 [4 per cell]  4 H 2.31
Co 0.0000 0.3541 0.0358 [8 per cell]  1 H 1.60
Ge 0.0000 0.2446 0.7500 [4 per cell]  6 Co 2.34-2.37
H 0.0000 0.5000 0.0000 [4 per cell]  2 Co 1.60

Fermi-level density of states in states/eV per cell: 17.2
DFT total energy in eV per atom: -4.92

17.
First-principles (PBE) data for Nb2RuRh3 after structural relaxation, as listed in the Alexandria database.

Cell: 5.6701 12.2483 5.6737 Å, 90.00 90.00 90.00°
Last column: nearest neighbours and their distance in Å.
Space group Ibam (No. 72)
Asymmetric unit:
Nb 0.2478 0.1485 0.0000 [8 per cell]  3 Rh 2.43-2.71, 2 Ru 2.70
Ru 0.0000 0.0000 0.2500 [4 per cell]  4 Nb 2.70, 6 Rh 2.75-2.84, 2 Ru 2.84
Rh 0.0000 0.5000 0.2500 [4 per cell]  4 Nb 2.71, 6 Rh 2.75-2.84, 2 Ru 2.84
Rh 0.2502 0.1532 0.5000 [8 per cell]  1 Nb 2.43

Fermi-level density of states in states/eV per cell: 21.7
Energy relative to the elements in eV per atom: -0.144
Excess energy over the best structure of this formula in the dataset in eV/atom: 0.000
DFT total energy in eV per atom: -8.72

18.
First-principles (PBE) data for LaMg2AlP after structural relaxation, as listed in the Alexandria database.

Cell: 5.9314 5.9314 5.6979 Å, 90.00 90.00 90.00°
Last column: nearest neighbours and their distance in Å.
Space group P4/mmm (No. 123)
Asymmetric unit:
La 0.0000 0.0000 0.0000 [1 per cell]  2 Al 2.85, 4 Mg 2.97
Mg 0.0000 0.5000 0.0000 [2 per cell]  2 La 2.97
Al 0.0000 0.0000 0.5000 [1 per cell]  2 La 2.85
P 0.5000 0.5000 0.5000 [1 per cell]  8 Mg 4.11, 4 Al 4.19

Fermi-level density of states in states/eV per cell: 3.7
Energy relative to the elements in eV per atom: 1.518
DFT total energy in eV per atom: -1.94